Entry from the Open Quantum Materials Database: an optimized crystal structure of Er2Zn (PBE).

```
Er2Zn
1.0
0.0000 6.0902 6.0902
6.0902 0.0000 6.0902
6.0902 6.0902 0.0000
Er Zn
4 2
direct
0.0000 0.0000 0.0000 Er
0.0000 0.0000 0.5000 Er
0.0000 0.5000 0.0000 Er
0.5000 0.0000 0.0000 Er
0.1250 0.1250 0.1250 Zn
0.8750 0.8750 0.8750 Zn
```

Properties
Energy of formation from the pure elements: 1.446 eV per atom
Space group: No. 227
Calculated density: 2940 kg/m³
M_tot: 0.12 μB per formula unit

Entry from the Open Quantum Materials Database: an optimized crystal structure of RbYOs (PBE).

```
RbYOs
1.0
6.8158 0.0000 0.0000
0.0000 6.8158 0.0000
0.0000 0.0000 6.8158
Rb Y Os
4 4 4
direct
0.0000 0.0000 0.0000 Rb
0.0000 0.5000 0.5000 Rb
0.5000 0.0000 0.5000 Rb
0.5000 0.5000 0.0000 Rb
0.2500 0.2500 0.2500 Y
0.2500 0.7500 0.7500 Y
0.7500 0.2500 0.7500 Y
0.7500 0.7500 0.2500 Y
0.2500 0.2500 0.7500 Os
0.2500 0.7500 0.2500 Os
0.7500 0.2500 0.2500 Os
0.7500 0.7500 0.7500 Os
```

Properties
ΔE to the lowest computed polymorph: 0.9156 eV per atom
Space group: No. 216
Calculated density: 7649 kg/m³
M_tot: 0.00 μB per formula unit